No. 1
The following is a PBE-GGA calculation of a relaxed structure of GdAg3S3, from OQMD via LeMat-Bulk.

```
GdAg3S3
1.0
5.818 3.359 2.551
-5.818 3.359 2.551
0.000 -6.718 2.551
Ag Gd S
6 2 6
Cartesian
1.162 3.425 3.242
-2.386 3.999 4.518
-3.547 -0.707 3.242
4.656 0.067 4.518
2.386 -2.719 3.242
-2.270 -4.065 4.518
0.000 0.000 3.071
0.000 0.000 6.898
4.009 2.375 3.745
-4.062 2.285 3.745
-0.052 2.058 5.020
1.808 -0.984 5.020
-1.756 -1.074 5.020
0.052 -4.660 3.745
```

space-group type	No. 161
E_tot	-61.11	eV/cell



No. 2
The following is a PBE-GGA calculation of a relaxed structure of Gd2Ag2Se3S, from OQMD via LeMat-Bulk.

```
Gd2Ag2Se3S
1.0
4.719 -4.849 0.000
4.719 4.849 0.000
-0.066 0.000 4.311
Ag Gd S Se
2 2 1 3
Cartesian
2.378 -2.428 0.066
2.378 2.428 0.066
0.044 0.000 0.882
4.572 0.000 3.385
2.805 0.000 1.134
6.596 0.000 1.217
4.673 -2.880 3.092
4.673 2.880 3.092
```

space-group type	No. 8
E_tot	-39.58	eV/cell



No. 3
The following is a PBE-GGA calculation of a relaxed structure of GdAgSnSeS2, from OQMD via LeMat-Bulk.

```
GdAgSnSeS2
1.0
-0.335 6.717 1.939
0.112 -6.690 2.053
10.648 0.360 0.594
Ag Gd S Se Sn
2 2 4 2 2
Cartesian
2.537 0.488 2.141
7.887 -0.101 2.445
0.000 0.000 0.000
5.324 0.180 0.297
0.468 1.878 2.016
4.509 2.015 2.242
5.915 -1.629 2.344
9.956 -1.492 2.570
2.373 5.417 2.099
8.051 -5.030 2.486
2.671 -3.506 2.175
7.754 3.893 2.411
```

space-group type	No. 63
E_tot	-57.53	eV/cell



No. 4
The following is a PBE-GGA calculation of a relaxed structure of SrGdAgSe2S, from OQMD via LeMat-Bulk.

```
SrGdAgSe2S
1.0
-0.202 5.890 -4.114
-1.989 -3.023 6.210
8.807 3.444 4.496
Ag Gd S Se Sr
2 2 2 4 2
Cartesian
1.062 2.076 2.425
5.553 4.235 4.167
0.000 0.000 0.000
4.403 1.722 2.248
0.362 -1.417 6.471
6.253 7.727 0.121
-0.866 0.338 2.787
2.563 1.678 4.537
4.053 4.632 2.055
7.482 5.973 3.805
1.538 4.450 -0.325
5.078 1.861 6.917
```

space-group type	No. 63
E_tot	-59.15	eV/cell



No. 5
The following is a PBE-GGA calculation of a relaxed structure of GdAgSnTeS2, from OQMD via LeMat-Bulk.

```
GdAgSnTeS2
1.0
5.209 4.147 -2.789
-6.687 -2.627 -0.698
-4.065 8.863 5.585
Ag Gd S Sn Te
2 2 4 2 2
Cartesian
-7.472 -0.280 0.657
1.929 10.662 1.440
-0.739 0.760 -1.744
-2.772 5.191 1.049
-5.457 -1.168 -0.584
-6.938 2.060 1.450
1.394 8.322 0.647
-0.086 11.550 2.682
0.683 4.364 -0.776
-6.226 6.019 2.874
-3.169 2.171 -0.099
-2.375 8.212 2.197
```

space-group type	No. 63
E_tot	-55.84	eV/cell



No. 6
The following is a PBE-GGA calculation of a relaxed structure of SrGdAgS3, from OQMD via LeMat-Bulk.

```
SrGdAgS3
1.0
7.647 0.000 0.000
0.000 4.046 0.000
-2.646 0.000 9.312
Ag Gd S Sr
2 2 6 2
Cartesian
0.544 1.011 0.843
4.458 3.034 8.469
1.402 3.034 3.225
3.600 1.011 6.087
2.096 3.034 0.422
-0.488 1.011 3.142
3.348 1.011 3.348
1.653 3.034 5.964
5.489 3.034 6.170
2.906 1.011 8.890
5.104 3.034 1.923
-0.102 1.011 7.389
```

space-group type	No. 11
E_tot	-62.23	eV/cell



No. 7
The following is a PBE-GGA calculation of a relaxed structure of SrGdAgS3, from OQMD via LeMat-Bulk.

```
SrGdAgS3
1.0
8.723 -1.999 0.000
8.723 1.999 0.000
-1.949 0.000 8.164
Ag Gd S Sr
2 2 6 2
Cartesian
7.751 0.000 2.353
7.745 0.000 5.812
13.771 0.000 3.355
1.726 0.000 4.810
8.723 0.000 0.000
5.225 0.000 1.435
11.019 0.000 2.946
-0.974 0.000 4.082
4.478 0.000 5.218
10.271 0.000 6.729
2.169 0.000 0.596
13.328 0.000 7.568
```

space-group type	No. 12
E_tot	-62.45	eV/cell



No. 8
The following is a PBE-GGA calculation of a relaxed structure of SrGdAgTe2S, from OQMD via LeMat-Bulk.

```
SrGdAgTe2S
1.0
-0.788 5.061 -5.659
0.558 -1.145 7.526
10.617 0.932 -0.645
Ag Gd S Sr Te
2 2 2 2 4
Cartesian
2.565 2.071 1.028
7.822 2.778 0.194
0.000 0.000 0.000
5.309 0.466 -0.322
3.108 -0.434 6.350
7.279 5.283 -5.128
2.235 3.596 -2.213
8.153 1.252 3.435
0.690 1.093 2.849
4.787 1.453 2.600
5.600 3.396 -1.378
9.698 3.756 -1.626
```

space-group type	No. 63
E_tot	-55.20	eV/cell